Entry 1:
CuIrOsF | PBE | optimized geometry

Calculated values
Energy relative to the lowest polymorph listed for this composition = 0.672 eV/f.u.
Crystal system = monoclinic

Unit cell a=2.735 b=2.727 c=14.915 alpha=90.00 beta=90.20 gamma=90.00
Positions (direct):
Ir: 0.302 0.000 0.074
Ir: 0.302 0.500 0.574
Os: 0.804 0.000 0.692
Os: 0.804 0.500 0.192
Cu: 0.799 0.000 0.450
Cu: 0.799 0.500 0.950
F: 0.807 0.000 0.311
F: 0.807 0.500 0.811



Entry 2:
CuIrOsF | PBE | optimized geometry

Calculated values
Energy relative to the lowest polymorph listed for this composition = 0.689 eV/f.u.
Crystal system = trigonal

Unit cell a=2.706 b=2.706 c=8.318 alpha=90.00 beta=90.00 gamma=120.00
Positions (direct):
Ir: 0.667 0.333 0.883
Os: 0.667 0.333 0.597
Cu: 0.333 0.667 0.143
F: 0.667 0.333 0.323



Entry 3:
CuIrOsF | PBE | optimized geometry

Calculated values
Energy relative to the lowest polymorph listed for this composition = 0.000 eV/f.u.
Crystal system = monoclinic

Unit cell a=8.379 b=2.741 c=4.738 alpha=90.00 beta=100.74 gamma=90.00
Positions (direct):
Ir: 0.859 0.000 0.325
Ir: 0.859 0.500 0.825
Os: 0.606 0.000 0.907
Os: 0.606 0.500 0.407
Cu: 0.120 0.000 0.741
Cu: 0.120 0.500 0.241
F: 0.361 0.000 0.827
F: 0.361 0.500 0.327



Entry 4:
Cu2IrPtF | PBE | optimized geometry

Calculated values
VASP energy = -4.03 eV/atom
Crystal system = tetragonal

Unit cell a=4.733 b=4.709 c=4.733 alpha=90.00 beta=90.00 gamma=90.00
Positions (direct):
Ir: 0.000 0.000 0.000
Cu: 0.000 0.000 0.500
Cu: 0.500 0.000 0.000
Pt: 0.000 0.500 0.000
F: 0.500 0.500 0.500



Entry 5:
RbCu2IrF8 | PBE | optimized geometry

Calculated values
VASP energy = -4.31 eV/atom
Crystal system = trigonal

Unit cell a=5.635 b=5.635 c=9.103 alpha=71.97 beta=71.97 gamma=60.00
Positions (direct):
Rb: 0.000 0.000 0.000
Cu: 0.745 0.745 0.765
Cu: 0.255 0.255 0.235
Ir: 0.500 0.500 0.500
F: 0.673 0.673 0.981
F: 0.327 0.327 0.019
F: 0.401 0.372 0.359
F: 0.628 0.599 0.641
F: 0.132 0.628 0.641
F: 0.372 0.868 0.359
F: 0.868 0.401 0.359
F: 0.599 0.132 0.641



Entry 6:
Sc2CuIrF | PBE | optimized geometry

Calculated values
VASP energy = -5.45 eV/atom
Crystal system = tetragonal

Unit cell a=4.929 b=4.430 c=4.929 alpha=90.00 beta=90.00 gamma=90.00
Positions (direct):
Sc: 0.000 0.000 0.500
Sc: 0.500 0.000 0.000
Ir: 0.000 0.500 0.000
Cu: 0.000 0.000 0.000
F: 0.500 0.500 0.500



Entry 7:
Cu2SiIrF | PBE | optimized geometry

Calculated values
Energy relative to the lowest polymorph listed for this composition = 0.000 eV/f.u.
Crystal system = tetragonal

Unit cell a=4.743 b=4.491 c=4.743 alpha=90.00 beta=90.00 gamma=90.00
Positions (direct):
Si: 0.000 0.500 0.000
Ir: 0.000 0.000 0.000
Cu: 0.000 0.000 0.500
Cu: 0.500 0.000 0.000
F: 0.500 0.500 0.500



Entry 8:
Cu2SiIrF | PBE | optimized geometry

Calculated values
Energy relative to the lowest polymorph listed for this composition = 0.394 eV/f.u.
Crystal system = tetragonal

Unit cell a=4.422 b=4.394 c=4.422 alpha=90.00 beta=90.00 gamma=90.00
Positions (direct):
Si: 0.000 0.000 0.000
Ir: 0.000 0.500 0.000
Cu: 0.000 0.000 0.500
Cu: 0.500 0.000 0.000
F: 0.500 0.500 0.500



| no. | spin magnetization (μB per cell) |
| --- | --- |
| 1 | 0.00 |
| 2 | 0.00 |
| 3 | 0.00 |
| 4 | 0.00 |
| 5 | 2.06 |
| 6 | 0.40 |
| 7 | 0.00 |
| 8 | 0.00 |